Below is a geometry-optimized GaS5F structure, with properties calculated at the PBE level.

- crystal system = monoclinic
- formation energy without anion corrections (meV/atom) = -387
- calculated volume (Å³ per atom) = 28.6

Structure (CIF):
```
data_GaS5F
_cell_length_a 6.6007
_cell_length_b 17.1323
_cell_length_c 4.3337
_cell_angle_alpha 90.00
_cell_angle_beta 125.12
_cell_angle_gamma 90.00
_space_group_name_H-M_alt 'C 1 2 1'
_space_group_IT_number 5
loop_
_space_group_symop_operation_xyz
'x,y,z'
'-x,y,-z'
'x+1/2,y+1/2,z'
'-x+1/2,y+1/2,-z'
loop_
_atom_site_label
_atom_site_type_symbol
_atom_site_fract_x
_atom_site_fract_y
_atom_site_fract_z
Ga1 Ga 0.0000 0.0000 0.0000
S1 S 0.0000 0.6563 0.0000
S2 S 0.1182 0.4572 0.7859
S3 S 0.1369 0.7306 0.7866
F1 F 0.0000 0.0125 0.5000
```

Below is a geometry-optimized LiCdGeAu structure, with properties calculated at the PBE level.

- crystal system = cubic
- D(E_F) (states/eV per cell) = 6.17
- energy of formation (eV per atom) = -0.181
- calculated volume (Å³ per atom) = 18.1

Structure (CIF):
```
data_LiCdGeAu
_cell_length_a 6.6142
_cell_length_b 6.6142
_cell_length_c 6.6142
_cell_angle_alpha 90.00
_cell_angle_beta 90.00
_cell_angle_gamma 90.00
_space_group_name_H-M_alt 'F -4 3 m'
_space_group_IT_number 216
_space_group_name_Hall 'F -4 2 3'
loop_
_atom_site_label
_atom_site_type_symbol
_atom_site_fract_x
_atom_site_fract_y
_atom_site_fract_z
Li1 Li 0.0000 0.0000 0.0000
Cd1 Cd 0.2500 0.2500 0.2500
Ge1 Ge 0.0000 0.0000 0.5000
Au1 Au 0.2500 0.2500 0.7500
```

Question: The lowest calculated volume belongs to which entry?
Answer: LiCdGeAu